Record 1
Material: Zn4Cu3
Method: DFT, PBE
State: optimized geometry

The structure in POSCAR format:
```
Zn4Cu3
1.0
4.856 0.000 0.000
-2.428 4.205 0.000
0.000 0.000 4.738
Zn Cu
4 3
direct
0.000 0.000 0.249 Zn
0.000 0.000 0.751 Zn
0.333 0.667 0.000 Zn
0.667 0.333 0.000 Zn
0.000 0.500 0.500 Cu
0.500 0.000 0.500 Cu
0.500 0.500 0.500 Cu
```

- Calculated volume: 13.8 A^3/atom
- E_tot: -17.6 eV for the cell shown
- Calculated formation energy: -25 meV/atom
- E above lowest polymorph: 26 meV/atom
- SG: P6/mmm, No. 191
- Total moment: 0.0 μB/cell

---

Record 2
Material: ZnCu2
Method: DFT, PBE
State: optimized geometry

The structure in POSCAR format:
```
ZnCu2
1.0
-1.339 1.339 5.301
1.339 -1.339 5.301
1.339 1.339 -5.301
Zn Cu
1 2
direct
0.000 0.000 0.000 Zn
0.331 0.331 0.000 Cu
0.669 0.669 0.000 Cu
```

- Calculated volume: 12.7 A^3/atom
- E_tot: -9.6 eV for the cell shown
- Calculated formation energy: -55 meV/atom
- SG: I4/mmm, No. 139
- Total moment: 0.0 μB/cell